# RbFeHO2 PBE with a Hubbard U optimized geometry
data_RbFeHO2
_chemical_formula_sum 'Rb1 Fe1 H1 O2'
_space_group_name_H-M_alt 'P 4/m m m'
_space_group_IT_number 123
_space_group_name_Hall '-P 4 2'
_cell_length_a 4.424
_cell_length_b 4.424
_cell_length_c 7.389
_cell_angle_alpha 90.00
_cell_angle_beta 90.00
_cell_angle_gamma 90.00
loop_
_atom_site_label
_atom_site_type_symbol
_atom_site_fract_x
_atom_site_fract_y
_atom_site_fract_z
Rb1 Rb 0.000 0.000 0.000
Fe1 Fe 0.000 0.000 0.500
H1 H 0.500 0.500 0.500
O1 O 0.000 0.500 0.000
# * total energy: -12.20 eV for the cell shown